## YTcAg2 (GGA-PBE)

Data for crystalline YTcAg2 at its relaxed geometry.

Cell lengths 4.1405, 4.1405, 9.0490 Å; angles 90.00, 90.00, 90.00 degrees
Closest atoms and distances in Å follow each position.
Space group I4/mmm (No. 139)
Unique sites:
Y1 0.0000 0.0000 0.0000 x2  4 Tc 2.93, 8 Ag 3.07
Tc1 0.0000 0.0000 0.5000 x2  4 Y 2.93, 8 Ag 3.07
Ag1 0.0000 0.5000 0.2500 x4  4 Ag 2.93, 4 Tc 3.07, 4 Y 3.07

Results
The value obtained for the density of states at the Fermi level is 3.35 states/eV/f.u. The value obtained for the energy of formation from the pure elements is 0.20 eV per atom. The crystal system is tetragonal. The calculation puts the excess energy over the best structure of this formula in the dataset at 0.030 eV/atom.

## YTc2Ag (GGA-PBE)

Data for crystalline YTc2Ag at its relaxed geometry.

Cell lengths 4.6793, 4.6793, 6.5780 Å; angles 90.00, 90.00, 90.00 degrees
Closest atoms and distances in Å follow each position.
Space group I-4m2 (No. 119)
Unique sites:
Y1 0.0000 0.0000 0.0000 x2  4 Tc 2.86, 4 Ag 2.86
Tc1 0.0000 0.0000 0.5000 x2  4 Tc 2.86, 4 Ag 2.86
Tc2 0.0000 0.5000 0.2500 x2  4 Tc 2.86, 4 Y 2.86
Ag1 0.0000 0.5000 0.7500 x2  4 Tc 2.86, 4 Y 2.86

Results
The value obtained for the density of states at the Fermi level is 2.41 states/eV/f.u. The value obtained for the energy of formation from the pure elements is 0.29 eV per atom. The crystal system is tetragonal. The calculation puts the excess energy over the best structure of this formula in the dataset at 0.212 eV/atom.